## Bi3H2 (PBE)

Data for a relaxed Bi3H2 crystal.

```
10
Lattice="0.000 9.069 1.660 9.030 0.000 1.660 9.030 9.069 0.000" Properties=species:S:1:pos:R:3 pbc="T T T"
Bi 0.000 0.000 0.000
Bi 4.515 4.535 0.830
Bi 11.274 6.876 2.397
Bi 6.786 11.262 2.397
Bi 15.789 15.797 3.227
Bi 11.301 11.411 3.227
H 14.470 8.014 1.563
H 9.955 5.590 2.393
H 3.590 10.125 1.563
H 8.105 12.548 2.393
```

* magnetic moment: 0.0 Bohr magnetons per cell
* total DFT energy (no corrections): -0.12587 hartree per atom
* space-group type: Fdd2

=====

## SmHfThN3 (PBE)

Data for a relaxed SmHfThN3 crystal.

```
12
Lattice="7.299 0.000 0.000 0.000 3.479 0.000 -1.014 0.000 8.233" Properties=species:S:1:pos:R:3 pbc="T T T"
Sm 0.461 0.870 2.931
Sm 5.823 2.609 5.302
Hf 0.195 0.870 7.771
Hf 6.089 2.609 0.462
Th 2.337 2.609 5.511
Th 3.947 0.870 2.722
N 0.870 2.609 0.681
N 0.486 0.870 5.572
N 2.270 2.609 3.254
N 4.015 0.870 4.979
N 5.799 2.609 2.662
N 5.414 0.870 7.552
```

* magnetic moment: 0.0 Bohr magnetons per cell
* total DFT energy (no corrections): -0.33521 hartree per atom
* space-group type: P2_1/m

=====

## Sr3Tl2Cd9 (PBE)

Data for a relaxed Sr3Tl2Cd9 crystal.

```
14
Lattice="-2.591 5.015 7.512 2.591 -5.015 7.512 2.591 5.015 -7.512" Properties=species:S:1:pos:R:3 pbc="T T T"
Sr 0.000 0.000 0.000
Sr 0.000 0.000 4.446
Sr 0.000 0.000 10.578
Tl 2.591 3.165 0.000
Tl 0.000 1.850 7.512
Cd 2.591 -1.415 2.468
Cd 2.591 -2.162 5.374
Cd 2.591 1.415 2.468
Cd 0.000 2.853 2.138
Cd 0.000 5.015 0.000
Cd 2.591 2.162 5.374
Cd 0.000 3.600 5.044
Cd 0.000 7.177 2.138
Cd 0.000 6.430 5.044
```

* calculated formation energy: -3.5 eV per formula unit
* magnetic moment: 0.0 Bohr magnetons per cell
* space-group type: Immm

=====

## NdDy4Y6 (PBE)

Data for a relaxed NdDy4Y6 crystal.

```
11
Lattice="-3.834 3.834 6.541 3.834 -3.834 6.541 3.834 3.834 -6.541" Properties=species:S:1:pos:R:3 pbc="T T T"
Nd 0.000 0.000 0.000
Dy 2.570 2.570 -0.990
Dy 1.264 -1.264 7.531
Dy 1.264 1.264 5.551
Dy -1.264 1.264 7.531
Y 3.834 0.000 0.000
Y 1.950 -1.950 4.090
Y 1.884 1.884 2.451
Y 0.000 3.834 0.000
Y -1.950 1.950 4.090
Y 1.950 1.950 8.993
```

* calculated formation energy: 4.7 eV per formula unit
* offset from the most stable computed form: 311 meV per atom
* magnetic moment: 0.0 Bohr magnetons per cell
* space-group type: I-42m

=====

## BaNpIn2Br8 (PBE)

Data for a relaxed BaNpIn2Br8 crystal.

```
12
Lattice="7.340 0.000 0.000 0.000 9.376 0.000 -0.231 0.000 7.407" Properties=species:S:1:pos:R:3 pbc="T T T"
Ba 0.000 0.000 0.000
Np 0.000 4.688 0.000
In 3.554 2.333 3.704
In 3.554 7.042 3.704
Br 1.423 4.688 2.332
Br 1.450 2.654 6.400
Br 1.450 6.722 6.400
Br 1.883 0.000 2.599
Br 5.226 0.000 4.809
Br 5.659 2.654 1.007
Br 5.659 6.722 1.007
Br 5.685 4.688 5.075
```

* magnetic moment: 3.0 Bohr magnetons per cell
* total DFT energy (no corrections): -0.14995 hartree per atom
* space-group type: P2/m

=====

## Ba3Rh (PBE)

Data for a relaxed Ba3Rh crystal.

```
4
Lattice="4.395 0.000 0.000 -2.198 3.806 0.000 0.000 0.000 11.529" Properties=species:S:1:pos:R:3 pbc="T T T"
Ba 0.000 0.000 0.000
Ba 0.000 2.538 3.935
Ba 0.000 2.538 7.595
Rh 0.000 0.000 5.765
```

* calculated formation energy: 0.0 eV per formula unit
* magnetic moment: 0.8 Bohr magnetons per cell
* space-group type: P-6m2

=====

## Li3Hg16Pb4 (PBE)

Data for a relaxed Li3Hg16Pb4 crystal.

```
23
Lattice="6.861 0.000 0.000 0.000 6.861 0.000 0.000 0.000 12.522" Properties=species:S:1:pos:R:3 pbc="T T T"
Li 0.000 0.000 0.000
Li 0.000 3.430 6.261
Li 3.430 0.000 6.261
Hg 0.000 0.000 2.721
Hg 0.000 0.000 9.800
Hg 1.737 1.737 4.782
Hg 1.737 1.737 7.740
Hg 1.737 5.123 4.782
Hg 1.737 5.123 7.740
Hg 1.871 1.871 0.000
Hg 1.871 4.990 0.000
Hg 3.430 3.430 2.569
Hg 3.430 3.430 9.952
Hg 4.990 1.871 0.000
Hg 4.990 4.990 0.000
Hg 5.123 1.737 4.782
Hg 5.123 1.737 7.740
Hg 5.123 5.123 4.782
Hg 5.123 5.123 7.740
Pb 0.000 3.430 2.577
Pb 0.000 3.430 9.945
Pb 3.430 0.000 2.577
Pb 3.430 0.000 9.945
```

* calculated formation energy: -1.2 eV per formula unit
* magnetic moment: 0.0 Bohr magnetons per cell
* space-group type: P4/mmm

=====

## NaPmLu (PBE)

Data for a relaxed NaPmLu crystal.

```
3
Lattice="3.535 0.000 0.000 -1.767 3.061 0.000 0.000 0.000 9.168" Properties=species:S:1:pos:R:3 pbc="T T T"
Na 0.000 0.000 0.000
Pm 0.000 2.041 5.905
Lu 1.767 1.020 3.151
```

* calculated formation energy: 0.4 eV per formula unit
* offset from the most stable computed form: 0 meV per atom
* magnetic moment: 0.0 Bohr magnetons per cell
* space-group type: P3m1

=====

## BeNiP (PBE)

Data for a relaxed BeNiP crystal.

```
3
Lattice="-1.547 1.547 3.310 1.547 -1.547 3.310 1.547 1.547 -3.310" Properties=species:S:1:pos:R:3 pbc="T T T"
Be 0.000 0.000 0.000
Ni 0.000 0.000 2.231
P 0.000 0.000 4.462
```

* calculated formation energy: -0.7 eV per formula unit
* offset from the most stable computed form: 178 meV per atom
* magnetic moment: 0.0 Bohr magnetons per cell
* space-group type: I4mm

=====

## BaCdGaAu2 (PBE)

Data for a relaxed BaCdGaAu2 crystal.

```
5
Lattice="-2.288 2.288 6.090 2.288 -2.288 6.090 2.288 2.288 -6.090" Properties=species:S:1:pos:R:3 pbc="T T T"
Ba 0.000 0.000 0.000
Cd 2.288 0.000 3.045
Ga 0.000 2.288 3.045
Au 0.000 0.000 4.657
Au 0.000 0.000 7.522
```

* calculated formation energy: -2.5 eV per formula unit
* offset from the most stable computed form: 0 meV per atom
* magnetic moment: 0.0 Bohr magnetons per cell
* space-group type: I-4m2

=====

## Ba2CrPtBr (PBE)

Data for a relaxed Ba2CrPtBr crystal.

```
5
Lattice="5.815 0.000 0.000 0.000 5.815 0.000 0.000 0.000 4.517" Properties=species:S:1:pos:R:3 pbc="T T T"
Ba 0.000 2.907 0.000
Ba 2.907 0.000 0.000
Cr 0.000 0.000 0.000
Pt 2.907 2.907 2.259
Br 0.000 0.000 2.259
```

* magnetic moment: 0.0 Bohr magnetons per cell
* total DFT energy (no corrections): -0.14749 hartree per atom
* space-group type: P4/mmm

=====

## Pm4BiIr (PBE)

Data for a relaxed Pm4BiIr crystal.

```
12
Lattice="6.329 0.000 0.000 0.000 6.772 0.000 -3.121 0.000 8.506" Properties=species:S:1:pos:R:3 pbc="T T T"
Pm 0.716 1.693 0.751
Pm 0.571 5.079 3.189
Pm -0.538 3.390 6.757
Pm -0.538 6.768 6.757
Pm 3.745 0.004 1.749
Pm 3.745 3.382 1.749
Pm 2.637 1.693 5.317
Pm 2.491 5.079 7.755
Bi -0.356 1.693 3.831
Bi 3.564 5.079 4.675
Ir 1.732 5.079 0.576
Ir 1.476 1.693 7.930
```

* calculated formation energy: -3.6 eV per formula unit
* offset from the most stable computed form: 0 meV per atom
* magnetic moment: 0.0 Bohr magnetons per cell
* space-group type: P2_1/m

=====

Q: Which value of magnetic moment does entry 10 give?
A: 0.0 Bohr magnetons per cell